ZrFeTe2: optimized geometry, PBEsol.

abc: 3.630 3.630 6.835
angles: 90.00 90.00 90.00
Space group P4mm (No. 99)
Inequivalent atoms, fractional coordinates:
Zr1 0.000 0.000 0.000 [1 per cell]
Fe1 0.500 0.500 0.232 [1 per cell]
Te1 0.000 0.000 0.402 [1 per cell]
Te2 0.500 0.500 0.820 [1 per cell]

Uncorrected formation energy ... -0.34 eV/atom